VASP calculation (GGA-PBE) on a geometry-optimized BaSr2LaNi structure.

```
5
Lattice="6.221 0.000 0.000 0.000 6.221 0.000 0.000 0.000 5.456" Properties=species:S:1:pos:R:3 pbc="T T T"
Sr 0.000 3.111 0.000
Sr 3.111 0.000 0.000
Ni 0.000 0.000 0.000
Ba 3.111 3.111 2.728
La 0.000 0.000 2.728
```

Properties
energy = -16.08 eV per cell
symmetry = P4/mmm, No. 123